Entry 1:
Entry from Alexandria: a relaxed structure of CoTeAs4 (PBE).

As for the crystal system: cubic. As for the uncorrected formation energy: 0.7749 eV/atom. Its density of states at the Fermi level is 8.47 states/eV/f.u.

The structure belongs to space group F-43m (No. 216); the cell edges are 7.9144, 7.9144 and 7.9144 Å and the angles 90.00°, 90.00° and 90.00°. The asymmetric unit holds Co at (0.0000, 0.0000, 0.0000), Te at (0.2500, 0.2500, 0.7500) and As at (0.1280, 0.1280, 0.3720).



Entry 2:
Entry from Alexandria: a relaxed structure of NaLa2PaN4 (PBE).

As for the crystal system: orthorhombic. As for the uncorrected formation energy: -1.2380 eV/atom.

The structure belongs to space group Fmm2 (No. 42); the cell edges are 7.1886, 10.6419 and 7.1736 Å and the angles 90.00°, 90.00° and 90.00°. The asymmetric unit holds Na at (0.0000, 0.0000, 0.0000), La at (0.2500, 0.2500, 0.2470), Pa at (0.0000, 0.0000, 0.4850), N at (0.0000, 0.2078, 0.4973) and N at (0.2341, 0.0000, 0.2707).



Entry 3:
Entry from Alexandria: a relaxed structure of Mg2MoPtW (PBE).

As for the crystal system: tetragonal. The value obtained for the energy of formation is 1445.4 meV per atom. Its density of states at the Fermi level is 3.53 states/eV/f.u.

The structure belongs to space group P4/mmm (No. 123); the cell edges are 5.0385, 5.0385 and 4.5340 Å and the angles 90.00°, 90.00° and 90.00°. The asymmetric unit holds Mg at (0.0000, 0.5000, 0.0000), Mo at (0.0000, 0.0000, 0.5000), Pt at (0.5000, 0.5000, 0.5000) and W at (0.0000, 0.0000, 0.0000).



Entry 4:
Entry from Alexandria: a relaxed structure of KAl2Hg (PBE).

As for the crystal system: monoclinic. The value obtained for the energy of formation is 176.5 meV per atom. Its density of states at the Fermi level is 1.84 states/eV/f.u.

The structure belongs to space group P2/m (No. 10); the cell edges are 3.2758, 4.7754 and 6.9302 Å and the angles 90.00°, 101.71° and 90.00°. The asymmetric unit holds K at (0.0000, 0.0000, 0.0000), Al at (0.3267, 0.5000, 0.6761) and Hg at (0.5000, 0.0000, 0.5000).



Entry 5:
Entry from Alexandria: a relaxed structure of ZrInW2 (PBE).

As for the crystal system: monoclinic. The value obtained for the energy of formation is 428.6 meV per atom. Its density of states at the Fermi level is 3.89 states/eV/f.u.

The structure belongs to space group Cm (No. 8); the cell edges are 9.7989, 2.8199 and 5.4561 Å and the angles 90.00°, 95.22° and 90.00°. The asymmetric unit holds Zr at (0.0000, 0.0000, 0.0000), In at (0.2500, 0.0000, 0.7480), W at (0.0070, 0.5000, 0.4876) and W at (0.2555, 0.5000, 0.2647).



Entry 6:
Entry from Alexandria: a relaxed structure of HfCoPd2Cl (PBE).

As for the crystal system: tetragonal. As for the uncorrected formation energy: 0.4756 eV/atom. Its density of states at the Fermi level is 5.07 states/eV/f.u.

The structure belongs to space group P4/mmm (No. 123); the cell edges are 4.6513, 4.6513 and 4.6326 Å and the angles 90.00°, 90.00° and 90.00°. The asymmetric unit holds Hf at (0.0000, 0.0000, 0.0000), Co at (0.0000, 0.0000, 0.5000), Pd at (0.0000, 0.5000, 0.5000) and Cl at (0.5000, 0.5000, 0.0000).



Entry 7:
Entry from Alexandria: a relaxed structure of TcAgF4 (PBE).

As for the crystal system: tetragonal. As for the uncorrected formation energy: -1.5021 eV/atom. Its density of states at the Fermi level is 3.75 states/eV/f.u.

The structure belongs to space group P4/nmm (No. 129, origin choice 2); the cell edges are 8.0634, 8.0634 and 2.9907 Å and the angles 90.00°, 90.00° and 90.00°. The asymmetric unit holds Tc at (0.2500, 0.7500, 0.0000), Ag at (0.2500, 0.2500, 0.4967) and F at (0.0092, 0.7500, 0.0019).



Entry 8:
Entry from Alexandria: a relaxed structure of Pr6Ho2Th (PBE).

Its offset from the most stable computed form is 0.000 eV per atom. As for the crystal system: hexagonal. The value obtained for the energy of formation is 60.9 meV per atom. Its density of states at the Fermi level is 14.62 states/eV/f.u.

The structure belongs to space group P-6m2 (No. 187); the cell edges are 3.6483, 3.6483 and 27.3770 Å and the angles 90.00°, 90.00° and 120.00°. The asymmetric unit holds Pr at (0.0000, 0.0000, 0.0666), Pr at (0.0000, 0.0000, 0.2772), Pr at (0.3333, 0.6667, 0.3916), Ho at (0.3333, 0.6667, 0.1702) and Th at (0.0000, 0.0000, 0.5000).



Entry 9:
Entry from Alexandria: a relaxed structure of TlAsIrBr2 (PBE).

Its offset from the most stable computed form is 1.445 eV per atom. As for the crystal system: tetragonal. As for the uncorrected formation energy: 1.4318 eV/atom. Its density of states at the Fermi level is 6.97 states/eV/f.u.

The structure belongs to space group P4/mmm (No. 123); the cell edges are 5.5376, 5.5376 and 5.4984 Å and the angles 90.00°, 90.00° and 90.00°. The asymmetric unit holds Tl at (0.0000, 0.0000, 0.0000), As at (0.0000, 0.0000, 0.5000), Ir at (0.5000, 0.5000, 0.5000) and Br at (0.0000, 0.5000, 0.0000).



Entry 10:
Entry from Alexandria: a relaxed structure of Ac3Be2CdO8 (PBE).

As for the crystal system: trigonal. As for the uncorrected formation energy: -2.5812 eV/atom. Its density of states at the Fermi level is 9.80 states/eV/f.u.

The structure belongs to space group P-3m1 (No. 164); the cell edges are 5.5477, 5.5477 and 7.1339 Å and the angles 90.00°, 90.00° and 120.00°. The asymmetric unit holds Ac at (0.0000, 0.0000, 0.0000), Ac at (0.3333, 0.6667, 0.6643), Be at (0.3333, 0.6667, 0.2051), Cd at (0.0000, 0.0000, 0.5000), O at (0.1749, 0.3498, 0.2956) and O at (0.3333, 0.6667, 0.9841).